1.
VASP calculation (PBE-GGA) on a relaxed structure of Tc2BOs.

Cell and atoms, written as extended XYZ:
```
4
Lattice="2.856 0.000 0.000 1.428 2.474 0.000 1.428 0.825 7.098" Properties=species:S:1:pos:R:3 pbc="T T T"
Tc 1.428 0.825 5.714
Tc 1.428 0.825 1.397
B 2.856 1.649 0.015
Os 2.856 1.649 3.520
```

## Properties
D(E_F) = 0.68 states/eV/atom
calculated volume = 50.2 Å³/cell
SG = R3m, No. 160
formation enthalpy at 0 K = -0.049 eV per atom
calculated total energy = -38.833 eV/cell

***

2.
VASP calculation (PBE-GGA) on a relaxed structure of Tc12B6Os.

Cell and atoms, written as extended XYZ:
```
19
Lattice="-2.488 -5.232 -3.220 -1.013 -0.726 6.510 -3.006 5.521 -2.101" Properties=species:S:1:pos:R:3 pbc="T T T"
Tc -3.303 2.849 -1.939
Tc -1.794 -0.887 1.804
Tc -4.712 0.450 -0.615
Tc -3.203 -3.286 3.128
Tc -2.002 0.470 4.308
Tc -2.293 -1.023 -0.977
Tc -4.213 0.586 2.166
Tc -4.504 -0.907 -3.119
Tc -2.665 -3.854 -0.912
Tc -2.223 1.486 0.326
Tc -4.283 -1.923 0.862
Tc -3.841 3.417 2.101
B -4.127 2.509 0.154
B -2.380 -2.946 1.035
B -3.299 -1.131 3.344
B -3.207 0.694 -2.156
B -4.096 -2.152 -1.393
B -2.410 1.715 2.581
Os 0.000 0.000 0.000
```

## Properties
D(E_F) = 0.80 states/eV/atom
calculated volume = 224.2 Å³/cell
SG = Im-3, No. 204
formation enthalpy at 0 K = -0.261 eV per atom
calculated total energy = -180.646 eV/cell

***

3.
VASP calculation (PBE-GGA) on a relaxed structure of Tc2BOs.

Cell and atoms, written as extended XYZ:
```
8
Lattice="-3.489 2.522 2.405 -2.932 -0.287 -3.954 -5.308 -3.594 1.122" Properties=species:S:1:pos:R:3 pbc="T T T"
B -3.211 1.117 -0.775
B -5.726 -1.382 -1.803
Os 0.000 0.000 0.000
Os -6.004 0.023 1.376
Tc -3.651 0.481 1.136
Tc -3.819 -0.601 -1.737
Tc -6.577 -1.876 0.008
Tc -9.413 -0.722 -0.261
```

## Properties
D(E_F) = 0.71 states/eV/atom
calculated volume = 133.6 Å³/cell
SG = I-42d, No. 122
formation enthalpy at 0 K = 0.889 eV per atom
calculated total energy = -70.165 eV/cell

***

4.
VASP calculation (PBE-GGA) on a relaxed structure of TcBOs2.

Cell and atoms, written as extended XYZ:
```
4
Lattice="2.736 0.000 0.000 0.000 2.736 0.000 0.000 0.000 6.563" Properties=species:S:1:pos:R:3 pbc="T T T"
B 1.368 1.368 0.000
Os 0.000 0.000 5.243
Os 0.000 0.000 1.320
Tc 1.368 1.368 3.282
```

## Properties
D(E_F) = 0.55 states/eV/atom
calculated volume = 49.1 Å³/cell
SG = P4/mmm, No. 123
formation enthalpy at 0 K = 0.043 eV per atom
calculated total energy = -39.330 eV/cell

***

5.
VASP calculation (PBE-GGA) on a relaxed structure of TcB2Os.

Cell and atoms, written as extended XYZ:
```
4
Lattice="0.000 2.730 2.730 2.730 0.000 2.730 2.730 2.730 0.000" Properties=species:S:1:pos:R:3 pbc="T T T"
B 1.365 1.365 1.365
B 4.096 4.096 4.096
Os 2.730 2.730 2.730
Tc 0.000 0.000 0.000
```

## Properties
D(E_F) = 0.71 states/eV/atom
calculated volume = 40.7 Å³/cell
SG = Fm-3m, No. 225
formation enthalpy at 0 K = 0.210 eV per atom
calculated total energy = -34.110 eV/cell

***

6.
VASP calculation (PBE-GGA) on a relaxed structure of Tc2BOs.

Cell and atoms, written as extended XYZ:
```
4
Lattice="-1.671 0.792 2.163 -2.807 -0.450 -0.132 -0.602 -6.335 3.727" Properties=species:S:1:pos:R:3 pbc="T T T"
B 0.000 0.000 0.000
Os -2.541 -2.997 2.879
Tc -3.759 -4.872 4.497
Tc -1.322 -1.121 1.261
```

## Properties
D(E_F) = 0.96 states/eV/atom
calculated volume = 50.4 Å³/cell
SG = R-3m, No. 166
formation enthalpy at 0 K = 0.052 eV per atom
calculated total energy = -38.430 eV/cell

***

7.
VASP calculation (PBE-GGA) on a relaxed structure of TcBOs2.

Cell and atoms, written as extended XYZ:
```
8
Lattice="-2.954 3.736 -1.640 1.248 -1.101 -4.755 -4.916 -2.024 -3.491" Properties=species:S:1:pos:R:3 pbc="T T T"
B -0.853 1.318 -3.198
B -2.260 -0.903 -5.722
Os -2.734 1.457 -2.389
Os -1.004 -0.492 -4.153
Os -4.248 -0.599 -5.315
Os -5.258 0.858 -7.915
Tc 0.000 0.000 0.000
Tc -4.362 1.515 -4.164
```

## Properties
D(E_F) = 0.78 states/eV/atom
calculated volume = 133.7 Å³/cell
SG = I-42d, No. 122
formation enthalpy at 0 K = 0.845 eV per atom
calculated total energy = -72.244 eV/cell

***

8.
VASP calculation (PBE-GGA) on a relaxed structure of Tc4B2Os.

Cell and atoms, written as extended XYZ:
```
7
Lattice="-2.399 -1.409 -2.540 2.685 -2.337 -1.239 -3.179 -3.122 4.733" Properties=species:S:1:pos:R:3 pbc="T T T"
Tc -1.065 -4.695 0.815
Tc 0.710 -2.645 0.796
Tc -1.828 -2.173 0.138
Tc -1.204 -2.814 2.697
B -0.111 -2.466 -1.321
B -2.782 -4.402 2.274
Os 0.000 0.000 0.000
```

## Properties
D(E_F) = 1.01 states/eV/atom
calculated volume = 88.3 Å³/cell
SG = Cmmm, No. 65
formation enthalpy at 0 K = 0.371 eV per atom
calculated total energy = -63.450 eV/cell

***

9.
VASP calculation (PBE-GGA) on a relaxed structure of Tc2BOs.

Cell and atoms, written as extended XYZ:
```
4
Lattice="-1.272 -2.345 -0.622 1.517 -0.221 -2.270 4.523 -3.341 3.348" Properties=species:S:1:pos:R:3 pbc="T T T"
B 0.123 -1.283 -1.446
Os 2.384 -2.953 0.228
Tc 3.609 -2.666 2.671
Tc 0.914 -0.675 0.676
```

## Properties
D(E_F) = 0.69 states/eV/atom
calculated volume = 49.1 Å³/cell
SG = P4/mmm, No. 123
formation enthalpy at 0 K = -0.054 eV per atom
calculated total energy = -38.854 eV/cell

***

10.
VASP calculation (PBE-GGA) on a relaxed structure of Tc2B2Os.

Cell and atoms, written as extended XYZ:
```
10
Lattice="-2.385 -2.339 5.150 -0.226 -5.545 -2.624 2.677 -0.573 0.980" Properties=species:S:1:pos:R:3 pbc="T T T"
B -1.050 -5.601 -0.406
B -2.193 -5.565 2.739
B -1.562 -2.284 2.932
B -0.418 -2.320 -0.214
Os 0.000 0.000 0.000
Os -1.306 -3.942 1.263
Tc 0.824 -4.272 -0.433
Tc -0.413 -6.508 1.637
Tc -0.758 -4.185 3.939
Tc 0.478 -1.949 1.869
```

## Properties
D(E_F) = 0.56 states/eV/atom
calculated volume = 109.6 Å³/cell
SG = P4/mbm, No. 127
formation enthalpy at 0 K = -0.091 eV per atom
calculated total energy = -91.547 eV/cell

***

11.
VASP calculation (PBE-GGA) on a relaxed structure of Th2TcB12Os3.

Cell and atoms, written as extended XYZ:
```
18
Lattice="-3.824 7.146 1.531 -6.878 2.728 3.646 -2.210 4.622 6.464" Properties=species:S:1:pos:R:3 pbc="T T T"
Th -8.219 9.228 7.410
Th -4.693 5.269 4.231
Tc 0.000 0.000 0.000
B -3.755 3.550 1.995
B -10.700 10.787 7.086
B -9.775 9.342 9.911
B -3.253 2.765 3.530
B -8.027 11.872 8.700
B -2.303 4.140 2.871
B -9.156 10.946 9.646
B -2.212 3.710 4.555
B -3.136 5.155 1.730
B -9.659 11.732 8.111
B -4.885 2.625 2.941
B -10.608 10.357 8.770
Os -1.912 3.573 0.765
Os -3.439 1.364 1.823
Os -1.105 2.311 3.232
```

## Properties
D(E_F) = 0.44 states/eV/atom
calculated volume = 217.7 Å³/cell
SG = R-3m, No. 166
formation enthalpy at 0 K = 0.132 eV per atom
calculated total energy = -136.645 eV/cell

***

12.
VASP calculation (PBE-GGA) on a relaxed structure of TiTcB2Os.

Cell and atoms, written as extended XYZ:
```
5
Lattice="-3.704 -1.055 -1.119 0.442 -3.954 2.266 -1.488 1.725 3.301" Properties=species:S:1:pos:R:3 pbc="T T T"
B -0.744 0.863 1.650
B -1.852 -0.527 -0.559
Os 0.221 -1.977 1.133
Tc -2.375 -1.642 2.224
Ti 0.000 0.000 0.000
```

## Properties
D(E_F) = 1.71 states/eV/atom
calculated volume = 73.7 Å³/cell
SG = P4/mmm, No. 123
formation enthalpy at 0 K = 1.920 eV per atom
calculated total energy = -33.246 eV/cell

***

13.
VASP calculation (PBE-GGA) on a relaxed structure of YTcB2Os.

Cell and atoms, written as extended XYZ:
```
5
Lattice="-0.288 -4.117 -1.181 4.626 -0.711 1.347 -1.311 -1.042 3.953" Properties=species:S:1:pos:R:3 pbc="T T T"
Y 0.000 0.000 0.000
B -0.656 -0.521 1.976
B -0.144 -2.059 -0.591
Os 1.513 -2.935 2.059
Tc 2.313 -0.355 0.674
```

## Properties
D(E_F) = 1.45 states/eV/atom
calculated volume = 89.8 Å³/cell
SG = P4/mmm, No. 123
formation enthalpy at 0 K = 3.001 eV per atom
calculated total energy = -26.409 eV/cell

***

14.
VASP calculation (PBE-GGA) on a relaxed structure of ZrTcBOs2.

Cell and atoms, written as extended XYZ:
```
5
Lattice="-1.102 3.913 0.878 -2.791 -1.402 2.747 2.898 0.139 3.016" Properties=species:S:1:pos:R:3 pbc="T T T"
B 0.000 0.000 0.000
Os -1.395 -0.701 1.373
Os -0.551 1.957 0.439
Tc 1.449 0.070 1.508
Zr -0.497 1.325 3.320
```

## Properties
D(E_F) = 1.12 states/eV/atom
calculated volume = 72.4 Å³/cell
SG = P4/mmm, No. 123
formation enthalpy at 0 K = -0.252 eV per atom
calculated total energy = -49.311 eV/cell

***

15.
VASP calculation (PBE-GGA) on a relaxed structure of ZrTc2BOs.

Cell and atoms, written as extended XYZ:
```
5
Lattice="-0.289 1.625 3.853 0.364 -3.838 1.646 4.135 0.445 0.123" Properties=species:S:1:pos:R:3 pbc="T T T"
B 0.000 0.000 0.000
Os 2.067 0.222 0.061
Tc 0.182 -1.919 0.823
Tc -0.145 0.813 1.926
Zr 2.105 -0.884 2.811
```

## Properties
D(E_F) = 1.45 states/eV/atom
calculated volume = 73.1 Å³/cell
SG = P4/mmm, No. 123
formation enthalpy at 0 K = -0.203 eV per atom
calculated total energy = -48.200 eV/cell

***

16.
VASP calculation (PBE-GGA) on a relaxed structure of BTeOs2.

Cell and atoms, written as extended XYZ:
```
4
Lattice="3.529 -0.613 2.415 0.111 -3.212 2.887 2.520 -3.440 -0.692" Properties=species:S:1:pos:R:3 pbc="T T T"
B 0.000 0.000 0.000
Te 3.080 -3.633 2.305
Os 1.540 -1.816 1.152
Os 4.620 -5.449 3.457
```

## Properties
D(E_F) = 0.43 states/eV/atom
calculated volume = 57.0 Å³/cell
distance to the lowest polymorph of the same formula = 415 meV per atom
SG = Fm-3m, No. 225
calculated total energy = -28.070 eV/cell
formation energy from raw total energies = 1.052 eV per atom

***

17.
VASP calculation (PBE-GGA) on a relaxed structure of BTeOs3.

Cell and atoms, written as extended XYZ:
```
5
Lattice="-3.600 0.769 -3.148 -3.177 0.089 3.655 0.638 4.781 0.438" Properties=species:S:1:pos:R:3 pbc="T T T"
B -3.069 2.820 0.472
Te 0.000 0.000 0.000
Os -1.589 0.045 1.827
Os 0.319 2.391 0.219
Os -1.800 0.384 -1.574
```

## Properties
D(E_F) = 1.54 states/eV/atom
calculated volume = 113.6 Å³/cell
distance to the lowest polymorph of the same formula = 2687 meV per atom
SG = Pm-3m, No. 221
calculated total energy = -26.637 eV/cell
formation energy from raw total energies = 3.374 eV per atom

***

18.
VASP calculation (PBE-GGA) on a relaxed structure of BTeOs.

Cell and atoms, written as extended XYZ:
```
6
Lattice="3.842 0.000 0.000 0.000 5.706 -1.256 -1.921 -1.307 6.095" Properties=species:S:1:pos:R:3 pbc="T T T"
Os 1.921 0.358 2.805
Os 0.000 4.041 2.033
B 0.000 0.421 3.511
B 1.921 3.978 1.327
Te 0.000 1.399 1.119
Te 1.921 3.000 3.719
```

## Properties
D(E_F) = 0.09 states/eV/atom
calculated volume = 127.3 Å³/cell
SG = C2/m, No. 12
calculated total energy = -39.638 eV/cell
formation energy from raw total energies = 0.410 eV per atom

***

19.
VASP calculation (PBE-GGA) on a relaxed structure of B3TeOs.

Cell and atoms, written as extended XYZ:
```
5
Lattice="-2.849 -2.038 2.474 -2.007 -1.447 -3.503 2.500 -3.485 0.007" Properties=species:S:1:pos:R:3 pbc="T T T"
B -1.004 -0.723 -1.751
B 1.250 -1.742 0.004
B -1.424 -1.019 1.237
Te 0.000 0.000 0.000
Os -1.178 -3.485 -0.511
```

## Properties
D(E_F) = 1.21 states/eV/atom
calculated volume = 78.9 Å³/cell
distance to the lowest polymorph of the same formula = 1636 meV per atom
SG = Pm-3m, No. 221
calculated total energy = -19.779 eV/cell
formation energy from raw total energies = 2.925 eV per atom

***

20.
VASP calculation (PBE-GGA) on a relaxed structure of B3TeOs.

Cell and atoms, written as extended XYZ:
```
5
Lattice="4.231 0.000 0.000 0.000 4.231 0.000 0.000 0.000 4.231" Properties=species:S:1:pos:R:3 pbc="T T T"
B 0.000 2.116 0.000
B 0.000 0.000 2.116
B 2.116 0.000 0.000
Te 2.116 2.116 2.116
Os 0.000 0.000 0.000
```

## Properties
D(E_F) = 1.15 states/eV/atom
calculated volume = 75.7 Å³/cell
distance to the lowest polymorph of the same formula = 0 meV per atom
SG = Pm-3m, No. 221
calculated total energy = -27.958 eV/cell
formation energy from raw total energies = 1.289 eV per atom

***

21.
VASP calculation (PBE-GGA) on a relaxed structure of BTeOs2.

Cell and atoms, written as extended XYZ:
```
8
Lattice="-3.093 3.179 -1.639 -1.865 0.415 4.325 1.629 6.477 2.667" Properties=species:S:1:pos:R:3 pbc="T T T"
B -2.479 1.797 1.343
B -1.358 4.344 4.167
Te 0.000 0.000 0.000
Te -1.971 5.726 1.185
Os -1.392 3.281 0.377
Os -1.512 2.653 2.970
Os -0.859 6.254 3.520
Os -2.895 7.952 3.837
```

## Properties
D(E_F) = 0.81 states/eV/atom
calculated volume = 142.3 Å³/cell
distance to the lowest polymorph of the same formula = 0 meV per atom
SG = I-42d, No. 122
calculated total energy = -59.459 eV/cell
formation energy from raw total energies = 0.637 eV per atom

***

22.
VASP calculation (PBE-GGA) on a relaxed structure of B2TeOs.

Cell and atoms, written as extended XYZ:
```
8
Lattice="-2.788 3.939 1.653 -2.839 -3.183 2.797 0.352 0.981 6.125" Properties=species:S:1:pos:R:3 pbc="T T T"
B -2.170 2.536 3.009
B -1.875 -1.478 3.391
B -1.683 1.202 6.102
B -4.823 1.214 8.649
Te -2.814 0.378 2.225
Te -2.651 -0.912 5.574
Os 0.000 0.000 0.000
Os -2.625 2.649 5.002
```

## Properties
D(E_F) = 0.02 states/eV/atom
calculated volume = 131.6 Å³/cell
SG = I-42d, No. 122
calculated total energy = -50.433 eV/cell
formation energy from raw total energies = 0.627 eV per atom

***

23.
VASP calculation (PBE-GGA) on a relaxed structure of BTeOs3.

Cell and atoms, written as extended XYZ:
```
5
Lattice="-2.494 -3.130 -1.284 2.458 -0.581 -3.360 2.325 -2.745 2.175" Properties=species:S:1:pos:R:3 pbc="T T T"
B 0.000 0.000 0.000
Te 1.144 -3.228 -1.234
Os 1.229 -0.290 -1.680
Os 1.162 -1.372 1.088
Os -1.247 -1.565 -0.642
```

## Properties
D(E_F) = 0.84 states/eV/atom
calculated volume = 74.3 Å³/cell
distance to the lowest polymorph of the same formula = 0 meV per atom
SG = Pm-3m, No. 221
calculated total energy = -40.073 eV/cell
formation energy from raw total energies = 0.687 eV per atom

***

24.
VASP calculation (PBE-GGA) on a relaxed structure of Ti2BTeOs.

Cell and atoms, written as extended XYZ:
```
5
Lattice="-2.582 -2.919 -3.090 -0.103 -3.436 3.331 -4.249 1.864 1.791" Properties=species:S:1:pos:R:3 pbc="T T T"
B -3.467 -2.245 1.016
Te 0.000 0.000 0.000
Os -0.051 -1.718 1.666
Ti -2.125 0.932 0.895
Ti -1.291 -1.459 -1.545
```

## Properties
D(E_F) = 1.25 states/eV/atom
calculated volume = 118.4 Å³/cell
SG = P4/mmm, No. 123
calculated total energy = -26.489 eV/cell
formation energy from raw total energies = 2.070 eV per atom

***

25.
VASP calculation (PBE-GGA) on a relaxed structure of Zn2BTeOs.

Cell and atoms, written as extended XYZ:
```
5
Lattice="4.949 0.000 0.000 0.000 4.026 0.000 0.000 0.000 4.949" Properties=species:S:1:pos:R:3 pbc="T T T"
Zn 0.000 0.000 2.474
Zn 2.474 0.000 0.000
Te 2.474 2.013 2.474
Os 0.000 0.000 0.000
B 0.000 2.013 0.000
```

## Properties
D(E_F) = 0.85 states/eV/atom
calculated volume = 98.6 Å³/cell
SG = P4/mmm, No. 123
calculated total energy = -19.826 eV/cell
formation energy from raw total energies = 0.754 eV per atom

***

26.
VASP calculation (PBE-GGA) on a relaxed structure of Th3B8Os3.

Cell and atoms, written as extended XYZ:
```
14
Lattice="3.148 0.000 0.000 1.574 7.783 -0.323 1.574 1.808 7.577" Properties=species:S:1:pos:R:3 pbc="T T T"
Th 3.148 4.796 3.627
Th 3.148 2.044 1.546
Th 3.148 7.547 5.708
B 3.148 2.094 4.512
B 3.148 7.497 2.743
B 3.148 4.911 0.787
B 3.148 4.680 6.467
B 4.722 7.313 3.385
B 1.574 2.278 3.869
B 4.722 5.249 6.115
B 1.574 4.343 1.139
Os 1.574 0.000 0.000
Os 1.574 6.478 1.402
Os 1.574 3.113 5.852
```

## Properties
D(E_F) = 0.47 states/eV/atom
calculated volume = 187.5 Å³/cell
SG = Immm, No. 71
formation enthalpy at 0 K = -0.061 eV per atom
calculated total energy = -110.224 eV/cell